Record 1
A relaxed structure of V6Fe5Ru, computed with PBE-GGA.

Structure (CIF):
```
data_V6Fe5Ru
_space_group_name_H-M_alt 'I m m m'
_space_group_IT_number 71
_space_group_name_Hall '-I 2 2'
_cell_length_a 4.1177
_cell_length_b 5.7944
_cell_length_c 12.3323
_cell_angle_alpha 90.00
_cell_angle_beta 90.00
_cell_angle_gamma 90.00
loop_
_atom_site_label
_atom_site_type_symbol
_atom_site_fract_x
_atom_site_fract_y
_atom_site_fract_z
V1 V 0.0000 0.2416 0.0000
V2 V 0.0000 0.2539 0.3298
Fe1 Fe 0.0000 0.0000 0.1670
Fe2 Fe 0.0000 0.5000 0.1660
Fe3 Fe 0.0000 0.5000 0.5000
Ru1 Ru 0.0000 0.0000 0.5000
```

**DFT formation energy**: -0.140 eV per atom

Record 2
A relaxed structure of LiSm2Ho, computed with PBE-GGA.

Structure (CIF):
```
data_LiSm2Ho
_space_group_name_H-M_alt 'P 4/m m m'
_space_group_IT_number 123
_space_group_name_Hall '-P 4 2'
_cell_length_a 3.6336
_cell_length_b 3.6336
_cell_length_c 9.0195
_cell_angle_alpha 90.00
_cell_angle_beta 90.00
_cell_angle_gamma 90.00
loop_
_atom_site_label
_atom_site_type_symbol
_atom_site_fract_x
_atom_site_fract_y
_atom_site_fract_z
Li1 Li 0.0000 0.0000 0.0000
Sm1 Sm 0.5000 0.5000 0.2282
Ho1 Ho 0.0000 0.0000 0.5000
```

**Relative energy among the computed polymorphs**: 0 meV/atom
**DFT formation energy**: 0.068 eV per atom

Record 3
A relaxed structure of TmMnCuPd, computed with PBE-GGA.

Structure (CIF):
```
data_TmMnCuPd
_space_group_name_H-M_alt 'F -4 3 m'
_space_group_IT_number 216
_space_group_name_Hall 'F -4 2 3'
_cell_length_a 6.5358
_cell_length_b 6.5358
_cell_length_c 6.5358
_cell_angle_alpha 90.00
_cell_angle_beta 90.00
_cell_angle_gamma 90.00
loop_
_atom_site_label
_atom_site_type_symbol
_atom_site_fract_x
_atom_site_fract_y
_atom_site_fract_z
Tm1 Tm 0.0000 0.0000 0.0000
Mn1 Mn 0.0000 0.0000 0.5000
Cu1 Cu 0.2500 0.2500 0.2500
Pd1 Pd 0.2500 0.2500 0.7500
```

**DFT formation energy**: -0.290 eV per atom

Total magnetization (μB/f.u.)
4.6 0.0 4.1
Electronic total energy (eV per atom)
-9.00 -3.91 -6.02